# 1
# Be2FePSe | the Alexandria database | GGA-PBE | relaxed
data_Be2FePSe
_chemical_formula_sum 'Be2 Fe1 P1 Se1'
_cell_length_a 4.2650
_cell_length_b 4.2650
_cell_length_c 4.0671
_cell_angle_alpha 90.00
_cell_angle_beta 90.00
_cell_angle_gamma 90.00
_symmetry_space_group_name_H-M 'P 4/m m m'
_symmetry_Int_Tables_number 123
_symmetry_space_group_name_Hall '-P 4 2'
loop_
_atom_site_label
_atom_site_fract_x
_atom_site_fract_y
_atom_site_fract_z
_atom_site_occupancy
Be1 0.0000 0.5000 0.0000 1
Fe1 0.0000 0.0000 0.0000 1
P1 0.0000 0.0000 0.5000 1
Se1 0.5000 0.5000 0.5000 1
# calculated volume: 74 Å³/f.u.
# crystal system: tetragonal
# ΔE_f (raw): 0.5353 eV/atom

# 2
# TaBeFe2P | the Alexandria database | GGA-PBE | relaxed
data_TaBeFe2P
_chemical_formula_sum 'Ta1 Be1 Fe2 P1'
_cell_length_a 4.0991
_cell_length_b 4.0991
_cell_length_c 4.6303
_cell_angle_alpha 90.00
_cell_angle_beta 90.00
_cell_angle_gamma 90.00
_symmetry_space_group_name_H-M 'P 4/m m m'
_symmetry_Int_Tables_number 123
_symmetry_space_group_name_Hall '-P 4 2'
loop_
_atom_site_label
_atom_site_fract_x
_atom_site_fract_y
_atom_site_fract_z
_atom_site_occupancy
Ta1 0.0000 0.0000 0.0000 1
Be1 0.5000 0.5000 0.0000 1
Fe1 0.0000 0.5000 0.5000 1
P1 0.0000 0.0000 0.5000 1
# calculated volume: 78 Å³/f.u.
# formation energy from the elements: 2.5 eV/f.u.
# crystal system: tetragonal

# 3
# Ti2BeFeP | the Alexandria database | GGA-PBE | relaxed
data_Ti2BeFeP
_chemical_formula_sum 'Ti2 Be1 Fe1 P1'
_cell_length_a 4.2640
_cell_length_b 4.2640
_cell_length_c 3.8014
_cell_angle_alpha 90.00
_cell_angle_beta 90.00
_cell_angle_gamma 90.00
_symmetry_space_group_name_H-M 'P 4/m m m'
_symmetry_Int_Tables_number 123
_symmetry_space_group_name_Hall '-P 4 2'
loop_
_atom_site_label
_atom_site_fract_x
_atom_site_fract_y
_atom_site_fract_z
_atom_site_occupancy
Ti1 0.0000 0.5000 0.0000 1
Be1 0.0000 0.0000 0.0000 1
Fe1 0.0000 0.0000 0.5000 1
P1 0.5000 0.5000 0.5000 1
# calculated volume: 69 Å³/f.u.
# formation energy from the elements: 1.1 eV/f.u.
# crystal system: tetragonal

# 4
# UBeFeP2 | the Alexandria database | GGA-PBE | relaxed
data_UBeFeP2
_chemical_formula_sum 'U2 Be2 Fe2 P4'
_cell_length_a 3.6891
_cell_length_b 3.6891
_cell_length_c 9.8356
_cell_angle_alpha 90.00
_cell_angle_beta 90.00
_cell_angle_gamma 90.00
_symmetry_space_group_name_H-M 'I -4 m 2'
_symmetry_Int_Tables_number 119
_symmetry_space_group_name_Hall 'I -4 -2'
loop_
_atom_site_label
_atom_site_fract_x
_atom_site_fract_y
_atom_site_fract_z
_atom_site_occupancy
U1 0.0000 0.0000 0.0000 1
Be1 0.0000 0.5000 0.7500 1
Fe1 0.0000 0.5000 0.2500 1
P1 0.0000 0.0000 0.3763 1
# calculated volume: 67 Å³/f.u.
# formation energy from the elements: -3.2 eV/f.u.
# crystal system: tetragonal

# 5
# PaBeFe | the Alexandria database | GGA-PBE | relaxed
data_PaBeFe
_chemical_formula_sum 'Pa4 Be4 Fe4'
_cell_length_a 4.2090
_cell_length_b 6.5926
_cell_length_c 6.6498
_cell_angle_alpha 90.00
_cell_angle_beta 90.00
_cell_angle_gamma 90.00
_symmetry_space_group_name_H-M 'I m m m'
_symmetry_Int_Tables_number 71
_symmetry_space_group_name_Hall '-I 2 2'
loop_
_atom_site_label
_atom_site_fract_x
_atom_site_fract_y
_atom_site_fract_z
_atom_site_occupancy
Pa1 0.0000 0.0000 0.2451 1
Be1 0.0000 0.3364 0.5000 1
Fe1 0.0000 0.2970 0.0000 1
# calculated volume: 46 Å³/f.u.
# formation energy from the elements: -0.2 eV/f.u.
# crystal system: orthorhombic

# 6
# PaBeFe4 | the Alexandria database | GGA-PBE | relaxed
data_PaBeFe4
_chemical_formula_sum 'Pa4 Be4 Fe16'
_cell_length_a 6.8880
_cell_length_b 6.8880
_cell_length_c 6.8880
_cell_angle_alpha 90.00
_cell_angle_beta 90.00
_cell_angle_gamma 90.00
_symmetry_space_group_name_H-M 'F -4 3 m'
_symmetry_Int_Tables_number 216
_symmetry_space_group_name_Hall 'F -4 2 3'
loop_
_atom_site_label
_atom_site_fract_x
_atom_site_fract_y
_atom_site_fract_z
_atom_site_occupancy
Pa1 0.0000 0.0000 0.0000 1
Be1 0.2500 0.2500 0.7500 1
Fe1 0.1240 0.1240 0.3760 1
# calculated volume: 82 Å³/f.u.
# formation energy from the elements: 0.3 eV/f.u.
# crystal system: cubic